Entry 1:
DFT (PBEsol) results for crystalline SnSbS2Cl at its relaxed geometry.

Size of the total moment, Bohr magnetons per cell: 0.000
Raw total energy, eV per atom: -3.97
E_form (uncorrected), eV/atom: -0.0530

a b c (Å): 5.112 5.112 4.988
angles (deg): 90.00 90.00 90.00
Space group P4/mmm (No. 123)
Unique sites:
1 Sn 0.000 0.000 0.000 (multiplicity 1)
2 Sb 0.500 0.500 0.500 (multiplicity 1)
3 S 0.000 0.500 0.500 (multiplicity 2)
4 Cl 0.500 0.500 0.000 (multiplicity 1)

***

Entry 2:
DFT (PBEsol) results for crystalline SbWS2Cl at its relaxed geometry.

Size of the total moment, Bohr magnetons per cell: 4.234
Raw total energy, eV per atom: -4.54
E_form (uncorrected), eV/atom: 1.2898

a b c (Å): 5.043 5.043 4.882
angles (deg): 90.00 90.00 90.00
Space group P4/mmm (No. 123)
Unique sites:
1 Sb 0.000 0.000 0.000 (multiplicity 1)
2 W 0.500 0.500 0.500 (multiplicity 1)
3 S 0.000 0.500 0.000 (multiplicity 2)
4 Cl 0.000 0.000 0.500 (multiplicity 1)